PmIrCl6 | Alexandria via LeMat-Bulk | PBE | relaxed; SG = R-3, No. 148; formation energy (no corrections) = -1.267 eV per atom
1.0
6.381 0.008 0.010
3.184 5.531 0.013
3.179 1.838 5.841
Pm Ir Cl
1 1 6
Direct
0.500 0.500 0.500
0.000 0.000 0.000
0.067 0.387 0.767
0.779 0.067 0.767
0.613 0.221 0.233
0.221 0.933 0.233
0.933 0.613 0.233
0.387 0.779 0.767

---

PbNO | Alexandria via LeMat-Bulk | PBE | relaxed; SG = P2_1/c, No. 14; DOS at the Fermi energy = 0.0 states/eV/cell; formation energy (no corrections) = -0.707 eV per atom
1.0
3.567 0.000 0.000
0.000 7.083 0.639
0.000 0.509 10.909
O N Pb
4 4 4
Direct
0.250 0.608 0.580
0.750 0.892 0.420
0.750 0.392 0.420
0.250 0.108 0.580
0.436 0.959 0.965
0.936 0.541 0.035
0.564 0.041 0.035
0.064 0.459 0.965
0.252 0.651 0.372
0.752 0.849 0.628
0.748 0.349 0.628
0.248 0.151 0.372

---

TbNdHo2 | Alexandria via LeMat-Bulk | PBE | relaxed; E_form = 0.128 eV/atom; SG = Fm-3m, No. 225; DOS at the Fermi energy = 8.2 states/eV/cell; E above lowest polymorph = 50.1 kJ/mol of formula units
1.0
-4.344 -2.751 -2.444
0.963 -3.548 -4.347
-0.583 -5.616 0.727
Nd Tb Ho
1 1 2
Direct
0.500 0.500 0.500
0.000 0.000 0.000
0.250 0.250 0.250
0.750 0.750 0.750